CsLaW2C | PBE | relaxed

abc: 4.2692 4.2692 5.7063
angles: 90.00 90.00 90.00
Atoms (fractional coordinates):
1 Cs 0.0000 0.0000 0.0000
2 La 0.5000 0.5000 0.0000
3 W 0.0000 0.5000 0.5000
4 W 0.5000 0.0000 0.5000
5 C 0.5000 0.5000 0.5000

Output
Size of the total moment   0.00 Bohr magnetons per cell
ΔH_f (0 K)   1.026 eV/atom